# Ge2AsH2 GGA-PBE optimized geometry
# - energy (eV per cell) = -37.157
# - spin magnetization (μB/cell) = 0.00
# - DOS at the Fermi energy (states/eV/f.u.) = 0.951
data_Ge2AsH2
_cell_length_a 7.558
_cell_length_b 7.558
_cell_length_c 2.788
_cell_angle_alpha 90.00
_cell_angle_beta 90.00
_cell_angle_gamma 90.00
_space_group_name_H-M_alt 'P 4/m b m'
_space_group_IT_number 127
_space_group_name_Hall '-P 4 2ab'
loop_
_atom_site_label
_atom_site_fract_x
_atom_site_fract_y
_atom_site_fract_z
_atom_site_occupancy
Ge1 0.199 0.301 0.000 1
As1 0.000 0.000 0.000 1
H1 0.191 0.691 0.500 1



# Pm4TlIn3 GGA-PBE optimized geometry
# - spin magnetization (μB/cell) = 0.00
# - DOS at the Fermi energy (states/eV/f.u.) = 8.913
# - formation energy (eV/atom) = -0.420
data_Pm4TlIn3
_cell_length_a 4.441
_cell_length_b 4.683
_cell_length_c 11.807
_cell_angle_alpha 90.00
_cell_angle_beta 90.00
_cell_angle_gamma 90.00
_space_group_name_H-M_alt 'P m m 2'
_space_group_IT_number 25
loop_
_space_group_symop_operation_xyz
'x,y,z'
'-x,-y,z'
'-x,y,z'
'x,-y,z'
loop_
_atom_site_label
_atom_site_fract_x
_atom_site_fract_y
_atom_site_fract_z
_atom_site_occupancy
Pm1 0.000 0.000 0.000 1
Pm2 0.000 0.500 0.498 1
Pm3 0.500 0.000 0.724 1
Pm4 0.500 0.500 0.223 1
Tl1 0.000 0.500 0.773 1
In1 0.000 0.000 0.279 1
In2 0.500 0.000 0.445 1
In3 0.500 0.500 0.946 1



# Sr2YAs GGA-PBE optimized geometry
# - spin magnetization (μB/cell) = 0.00
# - DOS at the Fermi energy (states/eV/f.u.) = 1.697
# - formation energy (eV/atom) = -0.539
data_Sr2YAs
_cell_length_a 4.289
_cell_length_b 5.131
_cell_length_c 13.471
_cell_angle_alpha 90.00
_cell_angle_beta 90.00
_cell_angle_gamma 90.00
_space_group_name_H-M_alt 'A m m 2'
_space_group_IT_number 38
loop_
_space_group_symop_operation_xyz
'x,y,z'
'-x,-y,z'
'-x,y,z'
'x,-y,z'
'x,y+1/2,z+1/2'
'-x,-y+1/2,z+1/2'
'-x,y+1/2,z+1/2'
'x,-y+1/2,z+1/2'
loop_
_atom_site_label
_atom_site_fract_x
_atom_site_fract_y
_atom_site_fract_z
_atom_site_occupancy
Sr1 0.000 0.000 0.000 1
Sr2 0.500 0.000 0.317 1
Y1 0.000 0.000 0.693 1
As1 0.500 0.000 0.559 1



# La4SbRh GGA-PBE optimized geometry
# - energy relative to the elements, uncorrected (meV/atom) = 189
# - spin magnetization (μB/cell) = 0.01
# - DOS at the Fermi energy (states/eV/f.u.) = 8.814
data_La4SbRh
_cell_length_a 8.892
_cell_length_b 8.892
_cell_length_c 8.892
_cell_angle_alpha 90.00
_cell_angle_beta 90.00
_cell_angle_gamma 90.00
_space_group_name_H-M_alt 'F -4 3 m'
_space_group_IT_number 216
_space_group_name_Hall 'F -4 2 3'
loop_
_atom_site_label
_atom_site_fract_x
_atom_site_fract_y
_atom_site_fract_z
_atom_site_occupancy
La1 0.125 0.125 0.125 1
Sb1 0.000 0.000 0.500 1
Rh1 0.250 0.250 0.750 1



# PuNpTl2Se4 GGA-PBE optimized geometry
# - energy relative to the elements, uncorrected (meV/atom) = -1019
# - spin magnetization (μB/cell) = 9.00
# - DOS at the Fermi energy (states/eV/f.u.) = 20.821
data_PuNpTl2Se4
_cell_length_a 7.333
_cell_length_b 4.233
_cell_length_c 8.099
_cell_angle_alpha 90.00
_cell_angle_beta 107.52
_cell_angle_gamma 90.00
_space_group_name_H-M_alt 'P 1 2/m 1'
_space_group_IT_number 10
loop_
_space_group_symop_operation_xyz
'x,y,z'
'-x,-y,-z'
'-x,y,-z'
'x,-y,z'
loop_
_atom_site_label
_atom_site_fract_x
_atom_site_fract_y
_atom_site_fract_z
_atom_site_occupancy
Pu1 0.000 0.000 0.000 1
Np1 0.500 0.500 0.000 1
Tl1 0.000 0.500 0.500 1
Tl2 0.500 0.000 0.500 1
Se1 0.237 0.500 0.203 1
Se2 0.269 0.000 0.797 1



# SrRe2Te GGA-PBE optimized geometry
# - energy relative to the elements, uncorrected (meV/atom) = 1069
# - spin magnetization (μB/cell) = 0.00
# - DOS at the Fermi energy (states/eV/f.u.) = 4.469
data_SrRe2Te
_cell_length_a 4.031
_cell_length_b 4.031
_cell_length_c 10.400
_cell_angle_alpha 90.00
_cell_angle_beta 90.00
_cell_angle_gamma 90.00
_space_group_name_H-M_alt 'I 4/m m m'
_space_group_IT_number 139
_space_group_name_Hall '-I 4 2'
loop_
_atom_site_label
_atom_site_fract_x
_atom_site_fract_y
_atom_site_fract_z
_atom_site_occupancy
Sr1 0.000 0.000 0.000 1
Re1 0.000 0.500 0.250 1
Te1 0.000 0.000 0.500 1



# NdEuMgCd GGA-PBE optimized geometry
# - spin magnetization (μB/cell) = 28.78
# - DOS at the Fermi energy (states/eV/f.u.) = 9.272
# - formation energy (eV/atom) = -0.198
data_NdEuMgCd
_cell_length_a 7.825
_cell_length_b 7.825
_cell_length_c 7.825
_cell_angle_alpha 90.00
_cell_angle_beta 90.00
_cell_angle_gamma 90.00
_space_group_name_H-M_alt 'F -4 3 m'
_space_group_IT_number 216
_space_group_name_Hall 'F -4 2 3'
loop_
_atom_site_label
_atom_site_fract_x
_atom_site_fract_y
_atom_site_fract_z
_atom_site_occupancy
Nd1 0.000 0.000 0.000 1
Eu1 0.000 0.000 0.500 1
Mg1 0.250 0.250 0.750 1
Cd1 0.250 0.250 0.250 1



# NaIn9Ni2 GGA-PBE optimized geometry
# - spin magnetization (μB/cell) = 0.00
# - DOS at the Fermi energy (states/eV/f.u.) = 5.432
# - formation energy (eV/atom) = 0.027
data_NaIn9Ni2
_cell_length_a 12.388
_cell_length_b 12.388
_cell_length_c 7.405
_cell_angle_alpha 90.00
_cell_angle_beta 90.00
_cell_angle_gamma 90.00
_space_group_name_H-M_alt 'I 41/a m d'
_space_group_IT_number 141
loop_
_space_group_symop_operation_xyz
'x,y,z'
'-x,-y,-z'
'-y+1/4,x+3/4,z+1/4'
'y+1/4,-x+3/4,-z+1/4'
'-x+1/2,-y,z+1/2'
'x+1/2,y,-z+1/2'
'y+1/4,-x+1/4,z+3/4'
'-y+1/4,x+1/4,-z+3/4'
'x,-y,-z'
'-x,y,z'
'-y+1/4,-x+1/4,-z+3/4'
'y+1/4,x+1/4,z+3/4'
'-x+1/2,y,-z+1/2'
'x+1/2,-y,z+1/2'
'y+1/4,x+3/4,-z+1/4'
'-y+1/4,-x+3/4,z+1/4'
'x+1/2,y+1/2,z+1/2'
'-x+1/2,-y+1/2,-z+1/2'
'-y+3/4,x+1/4,z+3/4'
'y+3/4,-x+1/4,-z+3/4'
'-x,-y+1/2,z'
'x,y+1/2,-z'
'y+3/4,-x+3/4,z+1/4'
'-y+3/4,x+3/4,-z+1/4'
'x+1/2,-y+1/2,-z+1/2'
'-x+1/2,y+1/2,z+1/2'
'-y+3/4,-x+3/4,-z+1/4'
'y+3/4,x+3/4,z+1/4'
'-x,y+1/2,-z'
'x,-y+1/2,z'
'y+3/4,x+1/4,-z+3/4'
'-y+3/4,-x+1/4,z+3/4'
loop_
_atom_site_label
_atom_site_fract_x
_atom_site_fract_y
_atom_site_fract_z
_atom_site_occupancy
Na1 0.000 0.250 0.375 1
In1 0.000 0.250 0.875 1
In2 0.122 0.071 0.670 1
Ni1 0.000 0.000 0.000 1



# SiTcRhW2 GGA-PBE optimized geometry
# - energy relative to the elements, uncorrected (meV/atom) = 1602
# - spin magnetization (μB/cell) = 0.00
# - DOS at the Fermi energy (states/eV/f.u.) = 5.900
data_SiTcRhW2
_cell_length_a 4.707
_cell_length_b 4.707
_cell_length_c 4.405
_cell_angle_alpha 90.00
_cell_angle_beta 90.00
_cell_angle_gamma 90.00
_space_group_name_H-M_alt 'P 4/m m m'
_space_group_IT_number 123
_space_group_name_Hall '-P 4 2'
loop_
_atom_site_label
_atom_site_fract_x
_atom_site_fract_y
_atom_site_fract_z
_atom_site_occupancy
Si1 0.000 0.000 0.000 1
Tc1 0.000 0.000 0.500 1
Rh1 0.500 0.500 0.000 1
W1 0.000 0.500 0.500 1



# LaO3 GGA-PBE optimized geometry
# - energy relative to the elements, uncorrected (meV/atom) = -2082
# - spin magnetization (μB/cell) = 0.00
# - DOS at the Fermi energy (states/eV/f.u.) = 0.000
data_LaO3
_cell_length_a 4.080
_cell_length_b 4.310
_cell_length_c 6.932
_cell_angle_alpha 86.14
_cell_angle_beta 89.48
_cell_angle_gamma 63.46
_space_group_name_H-M_alt 'P -1'
_space_group_IT_number 2
loop_
_space_group_symop_operation_xyz
'x,y,z'
'-x,-y,-z'
loop_
_atom_site_label
_atom_site_fract_x
_atom_site_fract_y
_atom_site_fract_z
_atom_site_occupancy
La1 0.195 0.165 0.250 1
O1 0.135 0.192 0.799 1
O2 0.340 0.333 0.910 1
O3 0.404 0.680 0.534 1



# Ho2ThAl2Zn2 GGA-PBE optimized geometry
# - spin magnetization (μB/cell) = 0.00
# - DOS at the Fermi energy (states/eV/f.u.) = 3.980
# - formation energy (eV/atom) = -0.274
data_Ho2ThAl2Zn2
_cell_length_a 4.4646
_cell_length_b 4.4646
_cell_length_c 28.3840
_cell_angle_alpha 90.00
_cell_angle_beta 90.00
_cell_angle_gamma 120.00
_space_group_name_H-M_alt 'R -3 m'
_space_group_IT_number 166
_space_group_name_Hall '-R 3 2"'
loop_
_atom_site_label
_atom_site_fract_x
_atom_site_fract_y
_atom_site_fract_z
_atom_site_occupancy
Ho1 0.0000 0.0000 0.1290 1
Th1 0.0000 0.0000 0.0000 1
Al1 0.0000 0.0000 0.2599 1
Zn1 0.0000 0.0000 0.4022 1



# TcSb2TeAs GGA-PBE optimized geometry
# - energy relative to the elements, uncorrected (meV/atom) = 606
# - spin magnetization (μB/cell) = 0.00
# - DOS at the Fermi energy (states/eV/f.u.) = 3.836
data_TcSb2TeAs
_cell_length_a 5.180
_cell_length_b 5.180
_cell_length_c 5.054
_cell_angle_alpha 90.00
_cell_angle_beta 90.00
_cell_angle_gamma 90.00
_space_group_name_H-M_alt 'P 4/m m m'
_space_group_IT_number 123
_space_group_name_Hall '-P 4 2'
loop_
_atom_site_label
_atom_site_fract_x
_atom_site_fract_y
_atom_site_fract_z
_atom_site_occupancy
Tc1 0.000 0.000 0.000 1
Sb1 0.000 0.500 0.000 1
Te1 0.000 0.000 0.500 1
As1 0.500 0.500 0.500 1